Computed, not measured: crystalline RbPH2S at its relaxed geometry at the PBE level of DFT.

The space group is P4/mmm (No. 123) and the conventional cell measures 4.004, 4.004 and 7.581 Å, with angles of 90.00, 90.00 and 90.00 degrees. The inequivalent atoms are Rb at (0.000, 0.000, 0.000), P at (0.000, 0.000, 0.500), H at (0.000, 0.500, 0.500) and S at (0.500, 0.500, 0.000).

Computed, not measured: crystalline RbP2HS at its relaxed geometry at the PBE level of DFT.

The space group is P4/mmm (No. 123) and the conventional cell measures 7.488, 7.488 and 6.391 Å, with angles of 90.00, 90.00 and 90.00 degrees. The inequivalent atoms are Rb at (0.000, 0.000, 0.000), P at (0.000, 0.500, 0.000), H at (0.500, 0.500, 0.500) and S at (0.000, 0.000, 0.500).

Computed, not measured: crystalline RbP2HS at its relaxed geometry at the PBE level of DFT.

The space group is P4/mmm (No. 123) and the conventional cell measures 4.239, 4.239 and 5.027 Å, with angles of 90.00, 90.00 and 90.00 degrees. The inequivalent atoms are Rb at (0.000, 0.000, 0.000), P at (0.000, 0.500, 0.500), H at (0.500, 0.500, 0.500) and S at (0.500, 0.500, 0.000).

Computed, not measured: crystalline RbP2H6Se at its relaxed geometry at the PBE level of DFT.

The space group is C2/c (No. 15) and the conventional cell measures 7.821, 11.486 and 7.042 Å, with angles of 90.00, 90.34 and 90.00 degrees. The inequivalent atoms are Rb at (0.000, 0.199, 0.250), P at (0.245, 0.047, 0.748), H at (0.146, 0.160, 0.748), H at (0.147, 0.415, 0.100), H at (0.147, 0.415, 0.403) and Se at (0.000, 0.329, 0.750).

Computed, not measured: crystalline RbPHSe3 at its relaxed geometry at the PBE level of DFT.

The space group is C2/m (No. 12) and the conventional cell measures 13.048, 7.547 and 7.099 Å, with angles of 90.00, 104.59 and 90.00 degrees. The inequivalent atoms are Rb at (0.201, 0.000, 0.205), P at (0.029, 0.500, 0.167), H at (0.000, 0.275, 0.500), Se at (0.048, 0.255, 0.757) and Se at (0.200, 0.500, 0.257).

Computed, not measured: crystalline RbV2PH at its relaxed geometry at the PBE level of DFT.

The space group is P4/mmm (No. 123) and the conventional cell measures 4.364, 4.364 and 4.599 Å, with angles of 90.00, 90.00 and 90.00 degrees. The inequivalent atoms are Rb at (0.000, 0.000, 0.000), V at (0.000, 0.500, 0.500), P at (0.500, 0.500, 0.000) and H at (0.500, 0.500, 0.500).

Computed, not measured: crystalline RbZn2PH2 at its relaxed geometry at the PBE level of DFT.

The space group is P2_1/m (No. 11) and the conventional cell measures 7.342, 5.029 and 7.529 Å, with angles of 90.00, 116.62 and 90.00 degrees. The inequivalent atoms are Rb at (0.179, 0.250, 0.289), Zn at (0.355, 0.000, 0.812), P at (0.325, 0.750, 0.077), H at (0.168, 0.250, 0.698) and H at (0.326, 0.750, 0.634).

Computed, not measured: crystalline Rb2Zn2P2H at its relaxed geometry at the PBE level of DFT.

The space group is C2/m (No. 12) and the conventional cell measures 11.867, 4.124 and 7.999 Å, with angles of 90.00, 123.38 and 90.00 degrees. The inequivalent atoms are Rb at (0.060, 0.000, 0.331), Zn at (0.177, 0.500, 0.069), P at (0.205, 0.500, 0.784) and H at (0.000, 0.500, 0.000).

Computed, not measured: crystalline RePH2 at its relaxed geometry at the PBE level of DFT.

The space group is I-42d (No. 122) and the conventional cell measures 5.593, 5.593 and 4.675 Å, with angles of 90.00, 90.00 and 90.00 degrees. The inequivalent atoms are Re at (0.000, 0.000, 0.000), P at (0.000, 0.000, 0.500) and H at (0.177, 0.250, 0.125).

Computed, not measured: crystalline Re3PH at its relaxed geometry at the PBE level of DFT.

The space group is Pm-3m (No. 221) and the conventional cell measures 3.915, 3.915 and 3.915 Å, with angles of 90.00, 90.00 and 90.00 degrees. The inequivalent atoms are Re at (0.000, 0.000, 0.500), P at (0.500, 0.500, 0.500) and H at (0.000, 0.000, 0.000).

| no. | calculated total energy (eV per cell) |
| --- | --- |
| 1 | -13.73 |
| 2 | -9.95 |
| 3 | -15.61 |
| 4 | -145.89 |
| 5 | -91.42 |
| 6 | -22.66 |
| 7 | -33.50 |
| 8 | -40.78 |
| 9 | -91.61 |
| 10 | -42.84 |